1.
HfTlF5 (PBEsol, optimized geometry); electronic total energy = -0.24017 Ha/atom; symmetry = P2_1/c; ΔE_f (raw) = -3.282 eV per atom
1.0
7.250 0.000 0.082
0.000 7.841 0.000
-3.345 0.000 7.086
Hf F Tl
4 20 4
Cartesian
-2.733 5.194 5.949 Hf
6.638 2.647 1.219 Hf
4.965 1.274 4.762 Hf
-1.060 6.567 2.406 Hf
-2.610 7.329 5.611 F
4.017 1.647 6.684 F
-0.112 6.193 0.484 F
0.936 2.283 2.368 F
4.641 6.204 1.257 F
4.724 2.295 0.761 F
3.051 1.625 4.305 F
-0.608 0.053 4.017 F
5.690 2.273 3.141 F
0.854 6.215 2.863 F
1.065 3.868 0.474 F
2.969 5.557 4.800 F
-1.785 5.568 4.027 F
6.515 0.512 1.557 F
-0.938 4.432 2.068 F
-0.819 5.546 6.407 F
4.842 3.409 5.100 F
4.512 7.788 3.151 F
-0.737 1.637 5.911 F
2.840 3.973 6.694 F
0.815 3.634 4.976 Tl
3.090 4.206 2.193 Tl
1.417 7.555 5.736 Tl
2.488 0.286 1.432 Tl


2.
Ni2TeAs (PBEsol, optimized geometry); electronic total energy = -0.18843 Ha/atom; symmetry = I4/mmm; ΔE_f (raw) = 0.109 eV per atom
1.0
4.455 0.000 0.000
-2.227 3.782 0.140
0.000 2.487 3.696
As Ni Te
1 2 1
Cartesian
0.000 0.000 0.000 As
2.227 3.756 2.842 Ni
0.000 2.513 0.994 Ni
2.227 1.243 1.848 Te


3.
Ca3RuF (PBEsol, optimized geometry); electronic total energy = -0.16574 Ha/atom; symmetry = Pm-3m; ΔE_f (raw) = -0.810 eV per atom
1.0
4.671 0.000 0.000
0.000 4.671 0.000
0.000 0.000 4.671
Ca F Ru
3 1 1
Cartesian
0.000 0.000 2.336 Ca
2.336 0.000 0.000 Ca
0.000 2.336 0.000 Ca
0.000 0.000 0.000 F
2.336 2.336 2.336 Ru


4.
ZrIrRh2 (PBEsol, optimized geometry); electronic total energy = -0.33875 Ha/atom; symmetry = Pmm2; DFT formation energy = -0.420 eV per atom
1.0
2.865 0.000 0.000
0.000 3.789 0.000
0.000 0.000 5.615
Rh Ir Zr
2 1 1
Cartesian
0.000 0.000 5.587 Rh
1.433 1.894 1.334 Rh
1.433 1.894 4.324 Ir
0.000 0.000 2.794 Zr